1.
Here is a geometry-optimized Zr2ScNbC4 structure from the Alexandria database. Energies are from GGA-PBE.

* space-group type: No. 10

a = 3.2851 Å, b = 5.6918 Å, c = 5.6659 Å
α = 109.26°, β = 90.00°, γ = 90.00°
Atoms (fractional coordinates):
C 0.0000 0.2439 0.7543
C 0.5000 0.7574 0.7586
C 0.0000 0.7561 0.2457
C 0.5000 0.2426 0.2414
Zr 0.5000 0.0000 0.5000
Zr 0.0000 0.5000 0.5000
Nb 0.0000 0.0000 0.0000
Sc 0.5000 0.5000 0.0000



2.
Here is a geometry-optimized Nb5CSe5 structure from the Alexandria database. Energies are from GGA-PBE.

* space-group type: No. 12

a = 4.9672 Å, b = 6.4640 Å, c = 7.8001 Å
α = 105.82°, β = 90.00°, γ = 112.60°
Last column: magnetic moment on the atom in μB.
Atoms (fractional coordinates):
Se 0.0000 0.0000 0.5000  -0.01
Se 0.3166 0.6333 0.6850  0.00
Se 0.3161 0.6323 0.1500  0.00
Se 0.6839 0.3677 0.8500  0.00
Se 0.6834 0.3667 0.3150  0.00
Nb 0.5000 0.0000 0.0000  0.50
Nb 0.1116 0.2233 0.2604  0.00
Nb 0.8884 0.7767 0.7396  0.00
Nb 0.8795 0.7590 0.1607  0.01
Nb 0.1205 0.2410 0.8393  0.01
C 0.0000 0.0000 0.0000  0.00



3.
Here is a geometry-optimized NbC3Se structure from the Alexandria database. Energies are from GGA-PBE.

* space-group type: No. 221

a = 3.8487 Å, b = 3.8487 Å, c = 3.8487 Å
α = 90.00°, β = 90.00°, γ = 90.00°
Atoms (fractional coordinates):
C 0.5000 0.0000 0.0000
C 0.0000 0.5000 0.0000
C 0.0000 0.0000 0.5000
Se 0.0000 0.0000 0.0000
Nb 0.5000 0.5000 0.5000



4.
Here is a geometry-optimized NbCSe2 structure from the Alexandria database. Energies are from GGA-PBE.

* space-group type: No. 166

a = 7.9420 Å, b = 7.9420 Å, c = 7.9420 Å
α = 23.06°, β = 23.06°, γ = 23.06°
Atoms (fractional coordinates):
Se 0.6084 0.6084 0.6084
Se 0.3916 0.3916 0.3916
Nb 0.5000 0.5000 0.5000
C 0.0000 0.0000 0.0000



| no. | total energy (eV/cell) | M_tot (μB per formula unit) | D(E_F) (states/eV per cell) |
| --- | --- | --- | --- |
| 1 | -75.78 | 0.0 | 1.39 |
| 2 | -83.07 | 0.6 | 4.88 |
| 3 | -28.92 | 0.0 | 2.90 |
| 4 | -21.47 | 0.0 | 3.02 |